Density functional theory data (PBE-GGA) for a geometry-optimized CrAs2Pb structure.

Calculated values
ΔH_f (0 K) ... 141 meV per atom
Crystal system ... tetragonal
Total energy ... -88.3 eV for the cell shown

Cell and atoms, written as CIF:
```
data_CrAs2Pb
_chemical_formula_sum 'Cr4 As8 Pb4'
_symmetry_space_group_name_H-M 'I -4 2 d'
_symmetry_Int_Tables_number 122
_symmetry_space_group_name_Hall 'I -4 2bw'
_cell_length_a 5.9936
_cell_length_b 5.9936
_cell_length_c 12.3453
_cell_angle_alpha 90.00
_cell_angle_beta 90.00
_cell_angle_gamma 90.00
loop_
_atom_site_label
_atom_site_type_symbol
_atom_site_fract_x
_atom_site_fract_y
_atom_site_fract_z
Cr1 Cr 0.0000 0.0000 0.0000
As1 As 0.1770 0.2500 0.1250
Pb1 Pb 0.0000 0.0000 0.5000
```